VASP calculation (PBE) on a relaxed LaBeTc2 crystal.

Output
ΔH_f (0 K) (meV/atom): 505
Total energy (eV/atom): -6.842

Lattice parameters (Å, degrees): 3.252 4.336 9.435 90.00 90.00 90.00
Space group Imm2 (No. 44)
Inequivalent atoms, fractional coordinates:
La1 0.000 0.000 0.000
Be1 0.000 0.500 0.233
Tc1 0.000 0.000 0.547
Tc2 0.000 0.500 0.783